1.
Material: AlZnSi
Method: DFT, PBE
State: optimized geometry

Unit cell a=4.2483 b=4.2483 c=4.2483 alpha=60.00 beta=60.00 gamma=60.00
Closest atoms and distances in Å follow each position.
Element x y z (fractional)
Zn 0.0000 0.0000 0.0000  4 Si 2.60
Si 0.7500 0.7500 0.7500  4 Zn 2.60, 4 Al 2.60
Al 0.5000 0.5000 0.5000  4 Si 2.60

Computed properties:
**E_form (uncorrected)**: 0.154 eV per atom

=====

2.
Material: GdNpAs2
Method: DFT, PBE
State: optimized geometry

Unit cell a=4.1272 b=4.1272 c=7.1827 alpha=73.30 beta=73.30 gamma=60.00
Closest atoms and distances in Å follow each position.
Element x y z (fractional)
Gd 0.5000 0.5000 0.5000  6 As 2.94
As 0.2518 0.2518 0.2446  3 Np 2.90, 3 Gd 2.94
As 0.7482 0.7482 0.7554  3 Np 2.90, 3 Gd 2.94
Np 0.0000 0.0000 0.0000  6 As 2.90

Computed properties:
**Calculated formation energy**: -1104 meV per atom

=====

3.
Material: CsPuHgBr6
Method: DFT, PBE
State: optimized geometry

Unit cell a=10.7825 b=9.8508 c=10.4772 alpha=118.04 beta=120.97 gamma=90.00
Closest atoms and distances in Å follow each position.
Element x y z (fractional)
Br 0.9243 0.6763 0.2474  1 Pu 2.77
Br 0.9243 0.0711 0.2474  1 Pu 2.77
Pu 0.0000 0.0000 0.5000  6 Br 2.77-2.85
Pu 0.5000 0.0000 0.5000  6 Br 2.77-2.85
Br 0.6768 0.9289 0.7526  1 Pu 2.77
Br 0.6768 0.3237 0.7526  1 Pu 2.77
Br 0.5646 0.3146 0.1292  2 Hg 2.65
Br 0.4354 0.6854 0.8708  2 Hg 2.65
Hg 0.5000 0.0000 0.0000  2 Br 2.65
Br 0.6893 0.9393 0.3787  2 Pu 2.85
Br 0.3232 0.0711 0.2474  1 Pu 2.77
Cs 0.0465 0.2965 0.0930  8 Br 3.85-3.87
Br 0.0757 0.9289 0.7526  1 Pu 2.77
Br 0.3232 0.6763 0.2474  1 Pu 2.77
Br 0.3107 0.0607 0.6213  2 Pu 2.85
Cs 0.9535 0.7035 0.9070  8 Br 3.85-3.87
Br 0.0757 0.3237 0.7526  1 Pu 2.77
Hg 0.5000 0.5000 0.0000  2 Br 2.65

Computed properties:
**E_form (uncorrected)**: -1.183 eV per atom

=====

4.
Material: LaTc2Pt
Method: DFT, PBE
State: optimized geometry

Unit cell a=4.9341 b=4.9341 c=4.9341 alpha=127.51 beta=127.51 gamma=77.42
Closest atoms and distances in Å follow each position.
Element x y z (fractional)
La 0.5000 0.5000 0.0000  8 Tc 2.91-3.09, 4 Pt 2.91
Tc 0.2500 0.7500 0.5000  4 La 2.91, 4 Tc 2.91, 4 Pt 3.09
Pt 0.7500 0.2500 0.5000  4 La 2.91, 8 Tc 2.91-3.09
Tc 0.0000 0.0000 0.0000  4 Tc 2.91, 4 Pt 2.91, 4 La 3.09

Computed properties:
**Distance to the lowest polymorph of the same formula**: 305 meV per atom
**Calculated formation energy**: 176 meV per atom

=====

5.
Material: KNaNp2Te4
Method: DFT, PBE
State: optimized geometry

Unit cell a=4.6230 b=7.7983 c=16.3584 alpha=90.00 beta=90.00 gamma=107.24
Closest atoms and distances in Å follow each position.
Element x y z (fractional)
Na 0.1658 0.3315 0.2500  4 Te 2.87-2.89
Te 0.7311 0.4623 0.8997  1 Na 2.89, 3 Np 3.10-3.17
K 0.8806 0.7612 0.2500  6 Te 3.44-3.76
Te 0.0000 0.0000 0.5000  4 Np 3.18
Np 0.6288 0.2577 0.4354  6 Te 3.10-3.24
Te 0.2689 0.5377 0.1003  1 Na 2.89, 3 Np 3.10-3.17
Np 0.3712 0.7423 0.5646  6 Te 3.10-3.24
Te 0.7311 0.4623 0.6003  1 Na 2.89, 3 Np 3.10-3.17
Np 0.6288 0.2577 0.0646  6 Te 3.10-3.24
Na 0.8342 0.6685 0.7500  4 Te 2.87-2.89
Te 0.0000 0.0000 0.0000  4 Np 3.18
Te 0.5518 0.1035 0.2500  2 Na 2.87
Np 0.3712 0.7423 0.9354  6 Te 3.10-3.24
K 0.1194 0.2388 0.7500  6 Te 3.44-3.76
Te 0.2689 0.5377 0.3997  1 Na 2.89, 3 Np 3.10-3.17
Te 0.4482 0.8965 0.7500  2 Na 2.87

Computed properties:
**E_form (uncorrected)**: -0.743 eV per atom

=====

6.
Material: SrMnTl2
Method: DFT, PBE
State: optimized geometry

Unit cell a=5.2833 b=5.2833 c=10.2705 alpha=75.10 beta=75.10 gamma=90.00
Closest atoms and distances in Å follow each position.
Element x y z (fractional)
Tl 0.8750 0.7651 0.7500  2 Mn 2.83, 2 Tl 3.03
Tl 0.3750 0.4849 0.7500  2 Mn 2.83, 2 Tl 3.03
Mn 0.2500 0.7500 0.5000  4 Tl 2.83
Tl 0.2349 0.6250 0.2500  2 Mn 2.83, 2 Tl 3.03
Tl 0.5151 0.1250 0.2500  2 Mn 2.83, 2 Tl 3.03
Sr 0.7500 0.2500 0.5000  4 Tl 3.33
Sr 0.0000 0.0000 0.0000  4 Tl 3.33
Mn 0.5000 0.5000 0.0000  4 Tl 2.83

Computed properties:
**Calculated formation energy**: 293 meV per atom

=====

7.
Material: DyPu2Pt3
Method: DFT, PBE
State: optimized geometry

Unit cell a=5.7443 b=8.1907 c=7.0520 alpha=106.90 beta=114.03 gamma=90.00
Closest atoms and distances in Å follow each position.
Element x y z (fractional)
Pt 0.8306 0.4153 0.6616  4 Pu 2.87-2.88, 2 Dy 2.91
Pt 0.8310 0.9153 0.6616  4 Pu 2.87-2.88, 2 Dy 2.91
Pt 0.1690 0.0847 0.3384  4 Pu 2.87-2.88, 2 Dy 2.91
Pu 0.6647 0.5822 0.3290  6 Pt 2.87-2.88
Dy 0.0000 0.2500 0.0000  6 Pt 2.87-2.91
Pt 0.5000 0.2500 0.0000  4 Pu 2.87, 2 Dy 2.87
Pt 0.5000 0.7500 0.0000  4 Pu 2.87, 2 Dy 2.87
Pu 0.6643 0.0822 0.3290  6 Pt 2.87-2.88
Pu 0.3357 0.9178 0.6710  6 Pt 2.87-2.88
Pu 0.3353 0.4178 0.6710  6 Pt 2.87-2.88
Dy 0.0000 0.7500 0.0000  6 Pt 2.87-2.91
Pt 0.1694 0.5847 0.3384  4 Pu 2.87-2.88, 2 Dy 2.91

Computed properties:
**Calculated formation energy**: -852 meV per atom

=====

8.
Material: TmGe3Ir5
Method: DFT, PBE
State: optimized geometry

Unit cell a=4.0656 b=6.8352 c=12.0596 alpha=90.00 beta=90.00 gamma=107.30
Closest atoms and distances in Å follow each position.
Element x y z (fractional)
Ir 0.7966 0.5932 0.4260  2 Ge 2.38-2.57
Tm 0.7716 0.5431 0.7500  6 Ir 3.01-3.07, 6 Ge 3.10-3.35
Ir 0.4332 0.8664 0.1346  4 Ge 2.49-2.51, 3 Ir 2.74-2.78
Tm 0.2284 0.4569 0.2500  6 Ir 3.01-3.07, 6 Ge 3.10-3.35
Ir 0.0000 0.0000 0.5000  4 Ge 2.65, 6 Ir 2.74-2.80
Ir 0.0000 0.0000 0.0000  4 Ge 2.65, 6 Ir 2.74-2.80
Ge 0.3859 0.7718 0.9331  5 Ir 2.38-2.65
Ir 0.7966 0.5932 0.0740  2 Ge 2.38-2.57
Ge 0.9074 0.8149 0.2500  6 Ir 2.49-2.57
Ir 0.2034 0.4068 0.5740  2 Ge 2.38-2.57
Ir 0.5668 0.1336 0.8654  4 Ge 2.49-2.51, 3 Ir 2.74-2.78
Ir 0.2034 0.4068 0.9260  2 Ge 2.38-2.57
Ge 0.0926 0.1851 0.7500  6 Ir 2.49-2.57
Ir 0.5668 0.1336 0.6346  4 Ge 2.49-2.51, 3 Ir 2.74-2.78
Ge 0.6141 0.2282 0.4331  5 Ir 2.38-2.65
Ge 0.6141 0.2282 0.0669  5 Ir 2.38-2.65
Ge 0.3859 0.7718 0.5669  5 Ir 2.38-2.65
Ir 0.4332 0.8664 0.3654  4 Ge 2.49-2.51, 3 Ir 2.74-2.78

Computed properties:
**Calculated formation energy**: -310 meV per atom

=====

Number 1: total DFT energy (no corrections) -9.977 eV for the cell shown. Number 2: total DFT energy (no corrections) -40.735 eV for the cell shown. Number 3: total DFT energy (no corrections) -72.343 eV for the cell shown. Number 4: total DFT energy (no corrections) -30.996 eV for the cell shown. Number 5: total DFT energy (no corrections) -93.625 eV for the cell shown. Number 6: total DFT energy (no corrections) -28.820 eV for the cell shown. Number 7: total DFT energy (no corrections) -113.005 eV for the cell shown. Number 8: total DFT energy (no corrections) -130.833 eV for the cell shown.